## Mg2TaTl (PBE)

Data for an optimized crystal structure of Mg2TaTl.

abc: 3.0290 3.0290 10.0387
angles: 90.00 90.00 110.97
Closest atoms and distances in Å follow each position.
Atoms (fractional coordinates):
Tl: 0.5000 0.5000 0.7453  4 Tl 3.03, 2 Ta 3.05, 2 Mg 3.10
Ta: 0.0000 0.0000 0.4942  2 Mg 2.92, 4 Ta 3.03, 2 Tl 3.05
Mg: 0.5000 0.5000 0.2586  2 Ta 2.92, 6 Mg 3.03-3.09
Mg: 0.0000 0.0000 0.0020  6 Mg 3.03-3.09, 2 Tl 3.10

Properties
Relative energy among the computed polymorphs ... 108 meV/atom
SG ... Cmm2
Energy of formation ... 0.32 eV/atom
E ... -0.29665 Ry/atom

***

## MgTa2Tl (PBE)

Data for an optimized crystal structure of MgTa2Tl.

abc: 4.7164 2.9856 5.6539
angles: 83.52 90.00 90.00
Closest atoms and distances in Å follow each position.
Atoms (fractional coordinates):
Mg: 0.5000 0.6464 0.7760  5 Ta 2.82-3.16, 2 Tl 2.87, 2 Mg 2.99
Ta: 0.5000 0.2053 0.2443  1 Mg 2.82, 4 Ta 2.84-2.99, 4 Tl 3.07-3.16
Ta: 0.0000 0.0255 0.9903  4 Ta 2.84-2.99, 4 Mg 2.94-3.16, 2 Tl 2.94-3.17
Tl: 0.0000 0.6229 0.4893  2 Mg 2.87, 7 Ta 2.94-3.20, 2 Tl 2.99

Properties
SG ... Pm
Energy of formation ... 0.39 eV/atom
E ... -0.47990 Ry/atom

***

## MgTaTl3 (PBE)

Data for an optimized crystal structure of MgTaTl3.

abc: 5.5111 5.5111 5.5111
angles: 90.00 90.00 90.00
Closest atoms and distances in Å follow each position.
Atoms (fractional coordinates):
Tl: 0.0000 0.5000 0.0000  2 Ta 2.76
Tl: 0.0000 0.0000 0.5000  2 Ta 2.76
Tl: 0.5000 0.0000 0.0000  2 Ta 2.76
Mg: 0.5000 0.5000 0.5000  12 Tl 3.90
Ta: 0.0000 0.0000 0.0000  6 Tl 2.76

Properties
Relative energy among the computed polymorphs ... 0 meV/atom
SG ... Pm-3m
Energy of formation ... 0.75 eV/atom
E ... -0.24653 Ry/atom

***

## MgTa2Tl (PBE)

Data for an optimized crystal structure of MgTa2Tl.

abc: 5.4753 5.4753 2.9284
angles: 90.00 90.00 116.64
Closest atoms and distances in Å follow each position.
Atoms (fractional coordinates):
Ta: 0.0000 0.0000 0.0000  4 Ta 2.88-2.93, 4 Tl 3.10, 4 Mg 3.10
Mg: 0.0000 0.5000 0.5000  2 Tl 2.88, 2 Mg 2.93, 8 Ta 3.10
Ta: 0.5000 0.5000 0.0000  4 Ta 2.88-2.93, 4 Mg 3.10, 4 Tl 3.10
Tl: 0.5000 0.0000 0.5000  2 Mg 2.88, 2 Tl 2.93, 8 Ta 3.10

Properties
SG ... Cmmm
Energy of formation ... 0.42 eV/atom
E ... -0.47718 Ry/atom

***

## Mg2TaTl (PBE)

Data for an optimized crystal structure of Mg2TaTl.

abc: 4.9279 4.9279 4.9279
angles: 60.00 60.00 60.00
Closest atoms and distances in Å follow each position.
Atoms (fractional coordinates):
Ta: 0.5000 0.5000 0.5000  4 Tl 3.02, 4 Mg 3.02
Tl: 0.7500 0.7500 0.7500  4 Mg 3.02, 4 Ta 3.02
Mg: 0.0000 0.0000 0.0000  4 Mg 3.02, 4 Tl 3.02
Mg: 0.2500 0.2500 0.2500  4 Ta 3.02, 4 Mg 3.02

Properties
Relative energy among the computed polymorphs ... 357 meV/atom
SG ... F-43m
Energy of formation ... 0.56 eV/atom
E ... -0.27840 Ry/atom

***

## Mg2TaTl (PBE)

Data for an optimized crystal structure of Mg2TaTl.

abc: 3.0065 3.0065 9.6502
angles: 90.00 90.00 92.76
Closest atoms and distances in Å follow each position.
Atoms (fractional coordinates):
Ta: 0.5000 0.5000 0.2500  8 Mg 3.00-3.07, 4 Ta 3.01
Mg: 0.0000 0.0000 0.0260  4 Ta 3.00-3.07, 4 Mg 3.01
Tl: 0.5000 0.5000 0.7500  4 Tl 3.01
Mg: 0.0000 0.0000 0.4740  4 Ta 3.00-3.07, 4 Mg 3.01

Properties
Relative energy among the computed polymorphs ... 0 meV/atom
SG ... Cmmm
Energy of formation ... 0.21 eV/atom
E ... -0.30462 Ry/atom

***

## Mg2TaTl (PBE)

Data for an optimized crystal structure of Mg2TaTl.

abc: 5.5331 5.8732 2.9897
angles: 78.55 83.16 116.15
Closest atoms and distances in Å follow each position.
Atoms (fractional coordinates):
Mg: 0.0000 0.0000 0.0000  6 Mg 2.98-3.30, 2 Tl 3.02, 2 Ta 3.02
Tl: 0.5000 0.5000 0.0000  4 Ta 2.98-3.30, 2 Tl 2.99, 4 Mg 3.02
Ta: 0.0000 0.5000 0.5000  4 Tl 2.98-3.30, 2 Ta 2.99, 4 Mg 3.02
Mg: 0.5000 0.0000 0.5000  6 Mg 2.98-3.30, 2 Ta 3.02, 2 Tl 3.02

Properties
Relative energy among the computed polymorphs ... 102 meV/atom
SG ... C2/m
Energy of formation ... 0.31 eV/atom
E ... -0.29711 Ry/atom

***

## Mg2TaTl (PBE)

Data for an optimized crystal structure of Mg2TaTl.

abc: 4.6493 3.0454 6.1802
angles: 74.20 90.00 90.00
Closest atoms and distances in Å follow each position.
Atoms (fractional coordinates):
Tl: 0.5000 0.8912 0.7259  3 Mg 2.84-2.91, 4 Ta 3.01-3.12, 2 Tl 3.05
Ta: 0.0000 0.5491 0.5097  6 Mg 2.94-3.26, 4 Tl 3.01-3.12, 2 Ta 3.05
Mg: 0.0000 0.8514 0.0151  2 Tl 2.91, 2 Ta 2.94-3.26, 6 Mg 3.05-3.13
Mg: 0.5000 0.2083 0.2494  1 Tl 2.84, 6 Mg 3.05-3.13, 2 Ta 3.16

Properties
Relative energy among the computed polymorphs ... 163 meV/atom
SG ... Pm
Energy of formation ... 0.37 eV/atom
E ... -0.29266 Ry/atom

***

## Mg2TaTl (PBE)

Data for an optimized crystal structure of Mg2TaTl.

abc: 5.5815 5.5815 2.9923
angles: 90.00 90.00 115.60
Closest atoms and distances in Å follow each position.
Atoms (fractional coordinates):
Tl: 0.0000 0.5000 0.5000  2 Ta 2.97, 2 Tl 2.99, 8 Mg 3.17
Mg: 0.5000 0.5000 0.0000  4 Mg 2.97-2.99, 4 Tl 3.17, 4 Ta 3.17
Mg: 0.0000 0.0000 0.0000  4 Mg 2.97-2.99, 4 Ta 3.17, 4 Tl 3.17
Ta: 0.5000 0.0000 0.5000  2 Tl 2.97, 2 Ta 2.99, 8 Mg 3.17

Properties
Relative energy among the computed polymorphs ... 84 meV/atom
SG ... Cmmm
Energy of formation ... 0.29 eV/atom
E ... -0.29847 Ry/atom

***

## MgTa2Tl (PBE)

Data for an optimized crystal structure of MgTa2Tl.

abc: 5.2180 5.2180 5.4349
angles: 81.05 81.05 33.34
Closest atoms and distances in Å follow each position.
Atoms (fractional coordinates):
Ta: 0.7429 0.7429 0.7857  5 Ta 2.80-3.01, 2 Mg 3.02
Mg: 0.2516 0.2516 0.2645  3 Tl 2.86-3.04, 2 Mg 2.99, 7 Ta 3.02-3.20
Ta: 0.0114 0.0114 0.9689  5 Ta 2.80-3.01, 2 Tl 3.07, 1 Mg 3.10
Tl: 0.4941 0.4941 0.4809  3 Mg 2.86-3.04, 2 Tl 2.99, 6 Ta 3.07-3.15

Properties
SG ... Cm
Energy of formation ... 0.41 eV/atom
E ... -0.47815 Ry/atom

***

## MgTa2Tl (PBE)

Data for an optimized crystal structure of MgTa2Tl.

abc: 3.5416 3.5416 6.5129
angles: 90.00 90.00 90.00
Closest atoms and distances in Å follow each position.
Atoms (fractional coordinates):
Ta: 0.0000 0.0000 0.0291  4 Ta 2.76, 4 Mg 3.06
Ta: 0.5000 0.5000 0.2077  4 Ta 2.76, 1 Mg 2.93
Tl: 0.0000 0.0000 0.5054  4 Mg 3.00, 5 Ta 3.10-3.17
Mg: 0.5000 0.5000 0.7578  5 Ta 2.93-3.06, 4 Tl 3.00

Properties
SG ... P4mm
Energy of formation ... 0.27 eV/atom
E ... -0.48872 Ry/atom

***

## Mg2TaTl (PBE)

Data for an optimized crystal structure of Mg2TaTl.

abc: 3.2163 5.0692 5.0681
angles: 90.00 90.00 90.00
Closest atoms and distances in Å follow each position.
Atoms (fractional coordinates):
Mg: 0.0000 0.0000 0.0000  4 Ta 3.00, 6 Mg 3.00-3.22
Tl: 0.0000 0.5000 0.5000  4 Mg 3.00, 4 Ta 3.00, 2 Tl 3.22
Mg: 0.5000 0.5000 0.0000  4 Tl 3.00, 6 Mg 3.00-3.22
Ta: 0.5000 0.0000 0.5000  4 Mg 3.00, 4 Tl 3.00, 2 Ta 3.22

Properties
Relative energy among the computed polymorphs ... 181 meV/atom
SG ... Pmmm
Energy of formation ... 0.39 eV/atom
E ... -0.29131 Ry/atom

***

## Mg2TaTl (PBE)

Data for an optimized crystal structure of Mg2TaTl.

abc: 5.7050 5.7050 5.7050
angles: 137.47 137.47 61.72
Closest atoms and distances in Å follow each position.
Atoms (fractional coordinates):
Ta: 0.2500 0.7500 0.5000  4 Tl 2.93, 8 Mg 3.21
Tl: 0.7500 0.2500 0.5000  4 Ta 2.93, 8 Mg 3.21
Mg: 0.5000 0.5000 0.0000  4 Mg 2.93, 4 Ta 3.21, 4 Tl 3.21
Mg: 0.0000 0.0000 0.0000  4 Mg 2.93, 4 Tl 3.21, 4 Ta 3.21

Properties
Relative energy among the computed polymorphs ... 203 meV/atom
SG ... I4/mmm
Energy of formation ... 0.41 eV/atom
E ... -0.28967 Ry/atom

***

## Mg3TaTl (PBE)

Data for an optimized crystal structure of Mg3TaTl.

abc: 5.5167 5.5167 5.5167
angles: 90.00 90.00 90.00
Closest atoms and distances in Å follow each position.
Atoms (fractional coordinates):
Mg: 0.0000 0.0000 0.5000  2 Ta 2.76
Ta: 0.0000 0.0000 0.0000  6 Mg 2.76
Mg: 0.5000 0.0000 0.0000  2 Ta 2.76
Tl: 0.5000 0.5000 0.5000  12 Mg 3.90
Mg: 0.0000 0.5000 0.0000  2 Ta 2.76

Properties
Relative energy among the computed polymorphs ... 0 meV/atom
SG ... Pm-3m
Energy of formation ... 1.12 eV/atom
E ... -0.19722 Ry/atom

***

## Mg2TaTl (PBE)

Data for an optimized crystal structure of Mg2TaTl.

abc: 10.2607 10.2607 10.2607
angles: 17.58 17.58 17.58
Closest atoms and distances in Å follow each position.
Atoms (fractional coordinates):
Ta: 0.2500 0.2500 0.2500  6 Mg 3.05, 6 Ta 3.14
Mg: 0.9976 0.9976 0.9976  3 Ta 3.05, 6 Mg 3.14, 3 Tl 3.17
Mg: 0.5024 0.5024 0.5024  3 Ta 3.05, 6 Mg 3.14, 3 Tl 3.17
Tl: 0.7500 0.7500 0.7500  6 Tl 3.14, 6 Mg 3.17

Properties
Relative energy among the computed polymorphs ... 63 meV/atom
SG ... R-3m
Energy of formation ... 0.27 eV/atom
E ... -0.30002 Ry/atom

***

## Mg2TaTl (PBE)

Data for an optimized crystal structure of Mg2TaTl.

abc: 4.2891 4.2891 4.3681
angles: 90.00 90.00 90.00
Closest atoms and distances in Å follow each position.
Atoms (fractional coordinates):
Mg: 0.0000 0.0000 0.0000  4 Mg 3.03, 4 Tl 3.06, 4 Ta 3.06
Mg: 0.5000 0.5000 0.0000  4 Mg 3.03, 4 Ta 3.06, 4 Tl 3.06
Tl: 0.0000 0.5000 0.5000  4 Ta 3.03, 8 Mg 3.06
Ta: 0.5000 0.0000 0.5000  4 Tl 3.03, 8 Mg 3.06

Properties
Relative energy among the computed polymorphs ... 106 meV/atom
SG ... P4/mmm
Energy of formation ... 0.31 eV/atom
E ... -0.29682 Ry/atom

***

## MgTa2Tl (PBE)

Data for an optimized crystal structure of MgTa2Tl.

abc: 10.2878 10.2878 10.2878
angles: 16.96 16.96 16.96
Closest atoms and distances in Å follow each position.
Atoms (fractional coordinates):
Mg: 0.7500 0.7500 0.7500  6 Mg 3.03, 6 Ta 3.09
Ta: 0.5002 0.5002 0.5002  6 Ta 3.03, 3 Tl 3.07, 3 Mg 3.09
Ta: 0.9998 0.9998 0.9998  6 Ta 3.03, 3 Tl 3.07, 3 Mg 3.09
Tl: 0.2500 0.2500 0.2500  6 Tl 3.03, 6 Ta 3.07

Properties
SG ... R-3m
Energy of formation ... 0.50 eV/atom
E ... -0.47150 Ry/atom

***

## MgTa2Tl (PBE)

Data for an optimized crystal structure of MgTa2Tl.

abc: 4.7035 4.0576 4.0576
angles: 90.00 90.00 90.00
Closest atoms and distances in Å follow each position.
Atoms (fractional coordinates):
Mg: 0.5000 0.0000 0.5000  4 Tl 2.87, 8 Ta 3.11
Tl: 0.5000 0.5000 0.0000  4 Mg 2.87, 8 Ta 3.11
Ta: 0.0000 0.5000 0.5000  4 Ta 2.87, 4 Tl 3.11, 4 Mg 3.11
Ta: 0.0000 0.0000 0.0000  4 Ta 2.87, 4 Tl 3.11, 4 Mg 3.11

Properties
SG ... P4/mmm
Energy of formation ... 0.35 eV/atom
E ... -0.48276 Ry/atom

***

## MgTaTl3 (PBE)

Data for an optimized crystal structure of MgTaTl3.

abc: 5.3189 5.3189 5.3189
angles: 90.00 90.00 90.00
Closest atoms and distances in Å follow each position.
Atoms (fractional coordinates):
Ta: 0.5000 0.5000 0.5000  12 Tl 3.76
Mg: 0.0000 0.0000 0.0000  6 Tl 2.66
Tl: 0.0000 0.5000 0.0000  2 Mg 2.66
Tl: 0.0000 0.0000 0.5000  2 Mg 2.66
Tl: 0.5000 0.0000 0.0000  2 Mg 2.66

Properties
Relative energy among the computed polymorphs ... 533 meV/atom
SG ... Pm-3m
Energy of formation ... 1.29 eV/atom
E ... -0.20735 Ry/atom

***

## Mg4TaTl (PBE)

Data for an optimized crystal structure of Mg4TaTl.

abc: 5.7116 5.7116 5.7116
angles: 60.00 60.00 60.00
Closest atoms and distances in Å follow each position.
Atoms (fractional coordinates):
Mg: 0.8724 0.3759 0.3759  6 Mg 2.84-2.88
Ta: 0.7500 0.7500 0.7500  12 Mg 3.35, 4 Tl 3.50
Mg: 0.3759 0.8724 0.3759  6 Mg 2.84-2.88
Tl: 0.0000 0.0000 0.0000  12 Mg 3.35, 4 Ta 3.50
Mg: 0.3759 0.3759 0.3759  6 Mg 2.84-2.88
Mg: 0.3759 0.3759 0.8724  6 Mg 2.84-2.88

Properties
SG ... F-43m
Energy of formation ... 0.51 eV/atom
E ... -0.21493 Ry/atom